# 1
Density functional theory data (GGA-PBE) for a geometry-optimized BBrNF2 structure.

a = 4.6726 Å, b = 4.6726 Å, c = 3.6771 Å
α = 90.00°, β = 90.00°, γ = 90.00°
Positions (direct):
B 0.0000 0.0000 0.0000
Br 0.5000 0.5000 0.5000
N 0.5000 0.5000 0.0000
F 0.0000 0.5000 0.5000
F 0.5000 0.0000 0.5000

Properties
Uncorrected energy (eV/atom): -2.777
Relative energy among the computed polymorphs (eV per formula unit): 5.74
SG: No. 123
Energy relative to the elements, uncorrected (kJ per mole of atoms): 126

# 2
Density functional theory data (GGA-PBE) for a geometry-optimized BBrN2F structure.

a = 3.7290 Å, b = 3.7290 Å, c = 5.2698 Å
α = 90.00°, β = 90.00°, γ = 90.00°
Positions (direct):
B 0.0000 0.0000 0.0000
Br 0.5000 0.5000 0.5000
N 0.0000 0.5000 0.5000
N 0.5000 0.0000 0.5000
F 0.5000 0.5000 0.0000

Properties
Uncorrected energy (eV/atom): -2.941
Relative energy among the computed polymorphs (eV per formula unit): 6.50
SG: No. 123
Energy relative to the elements, uncorrected (kJ per mole of atoms): 235